{
  "formula": "RbFeBi2S",
  "functional": "PBE",
  "state": "optimized geometry",
  "raw_formation_energy_ev_per_atom": 1.99,
  "cell": [[6.098, 0.000, 0.000], [0.000, 4.578, 0.000], [0.000, 0.000, 6.098]],
  "species": ["S", "Fe", "Bi", "Bi", "Rb"],
  "frac_coords": [[0.500, 0.500, 0.500], [0.000, 0.500, 0.000], [0.000, 0.000, 0.500], [0.500, 0.000, 0.000], [0.000, 0.000, 0.000]]
}

{
  "formula": "FeRe2Bi",
  "functional": "PBE",
  "state": "optimized geometry",
  "formation_enthalpy_0k_kcal_per_mol_atoms": 24.6,
  "cell": [[3.941, 0.000, 0.000], [0.000, 3.941, 0.000], [1.970, 1.970, 9.356]],
  "species": ["Fe", "Fe", "Bi", "Bi", "Re", "Re", "Re", "Re"],
  "frac_coords": [[0.500, 0.500, 0.000], [0.250, 0.750, 0.500], [0.000, 0.000, 0.000], [0.750, 0.250, 0.500], [0.556, 0.125, 0.250], [0.375, 0.444, 0.750], [0.194, 0.625, 0.250], [0.875, 0.806, 0.750]]
}

{
  "formula": "FeReBi3",
  "functional": "PBE",
  "state": "optimized geometry",
  "formation_enthalpy_0k_kcal_per_mol_atoms": 31.1,
  "e_above_lowest_polymorph_mev_per_atom": 0,
  "cell": [[4.965, 0.000, 0.000], [0.000, 4.965, 0.000], [0.000, 0.000, 4.965]],
  "species": ["Re", "Bi", "Bi", "Bi", "Fe"],
  "frac_coords": [[0.500, 0.500, 0.500], [0.000, 0.500, 0.000], [0.000, 0.000, 0.500], [0.500, 0.000, 0.000], [0.000, 0.000, 0.000]]
}

{
  "formula": "Fe2Bi2Rh",
  "functional": "PBE",
  "state": "optimized geometry",
  "formation_enthalpy_0k_kcal_per_mol_atoms": 12.7,
  "e_above_lowest_polymorph_mev_per_atom": 0,
  "cell": [[6.772, 0.000, 0.000], [0.000, 6.772, 0.000], [0.000, 0.000, 3.820]],
  "species": ["Rh", "Rh", "Fe", "Fe", "Fe", "Fe", "Bi", "Bi", "Bi", "Bi"],
  "frac_coords": [[0.000, 0.000, 0.000], [0.500, 0.500, 0.000], [0.115, 0.385, 0.000], [0.385, 0.885, 0.000], [0.885, 0.615, 0.000], [0.615, 0.115, 0.000], [0.684, 0.816, 0.500], [0.316, 0.184, 0.500], [0.184, 0.684, 0.500], [0.816, 0.316, 0.500]]
}

{
  "formula": "Fe2BiRh2",
  "functional": "PBE",
  "state": "optimized geometry",
  "formation_enthalpy_0k_kcal_per_mol_atoms": 4.8,
  "cell": [[-4.207, -3.566, 4.961], [5.160, 1.151, 5.203], [-1.311, 2.566, 0.733]],
  "species": ["Fe", "Fe", "Fe", "Fe", "Bi", "Bi", "Rh", "Rh", "Rh", "Rh"],
  "frac_coords": [[0.362, 0.862, 0.000], [0.138, 0.362, 0.000], [0.638, 0.138, 0.000], [0.862, 0.638, 0.000], [0.000, 0.000, 0.000], [0.500, 0.500, 0.000], [0.353, 0.147, 0.500], [0.647, 0.853, 0.500], [0.853, 0.353, 0.500], [0.147, 0.647, 0.500]]
}

{
  "formula": "Fe2Bi2Rh",
  "functional": "PBE",
  "state": "optimized geometry",
  "formation_enthalpy_0k_kcal_per_mol_atoms": 17.3,
  "e_above_lowest_polymorph_mev_per_atom": 200,
  "cell": [[-0.533, -1.336, 4.840], [4.966, 0.579, 0.707], [1.677, 3.142, 3.686]],
  "species": ["Fe", "Fe", "Bi", "Bi", "Rh"],
  "frac_coords": [[0.636, 0.636, 0.727], [0.364, 0.364, 0.273], [0.250, 0.750, 0.500], [0.750, 0.250, 0.500], [0.000, 0.000, 0.000]]
}

{
  "formula": "Fe2BiRh",
  "functional": "PBE",
  "state": "optimized geometry",
  "formation_enthalpy_0k_kcal_per_mol_atoms": 17.7,
  "cell": [[-3.355, 0.716, 1.896], [0.916, -2.735, 2.654], [2.886, 5.156, 7.210]],
  "species": ["Fe", "Fe", "Fe", "Fe", "Rh", "Rh", "Bi", "Bi"],
  "frac_coords": [[0.512, 0.125, 0.250], [0.875, 0.762, 0.750], [0.238, 0.625, 0.250], [0.375, 0.488, 0.750], [0.250, 0.750, 0.500], [0.500, 0.500, 0.000], [0.000, 0.000, 0.000], [0.750, 0.250, 0.500]]
}

{
  "formula": "FeBi3Rh",
  "functional": "PBE",
  "state": "optimized geometry",
  "formation_enthalpy_0k_kcal_per_mol_atoms": 16.0,
  "e_above_lowest_polymorph_mev_per_atom": 0,
  "cell": [[5.008, 0.000, 0.000], [0.000, 5.008, 0.000], [0.000, 0.000, 5.008]],
  "species": ["Rh", "Bi", "Bi", "Bi", "Fe"],
  "frac_coords": [[0.500, 0.500, 0.500], [0.000, 0.000, 0.500], [0.500, 0.000, 0.000], [0.000, 0.500, 0.000], [0.000, 0.000, 0.000]]
}

{
  "formula": "FeSnBiRh2",
  "functional": "PBE",
  "state": "optimized geometry",
  "formation_enthalpy_0k_kcal_per_mol_atoms": 17.5,
  "cell": [[4.613, 0.000, 0.000], [0.000, 4.893, 0.000], [0.000, 0.000, 4.613]],
  "species": ["Sn", "Rh", "Rh", "Fe", "Bi"],
  "frac_coords": [[0.500, 0.500, 0.500], [0.000, 0.000, 0.500], [0.500, 0.000, 0.000], [0.000, 0.000, 0.000], [0.000, 0.500, 0.000]]
}

{
  "formula": "FeTcBi2Rh",
  "functional": "PBE",
  "state": "optimized geometry",
  "formation_enthalpy_0k_kcal_per_mol_atoms": 34.5,
  "cell": [[5.228, 0.000, 0.000], [0.000, 4.653, 0.000], [0.000, 0.000, 5.228]],
  "species": ["Fe", "Tc", "Bi", "Bi", "Rh"],
  "frac_coords": [[0.500, 0.500, 0.500], [0.000, 0.000, 0.000], [0.000, 0.000, 0.500], [0.500, 0.000, 0.000], [0.000, 0.500, 0.000]]
}

{
  "formula": "Fe2BiRu",
  "functional": "PBE",
  "state": "optimized geometry",
  "formation_enthalpy_0k_kcal_per_mol_atoms": 26.4,
  "cell": [[5.374, 0.000, 0.000], [0.000, 5.374, 0.000], [2.687, 2.687, 5.803]],
  "species": ["Ru", "Ru", "Fe", "Fe", "Fe", "Fe", "Bi", "Bi"],
  "frac_coords": [[0.500, 0.500, 0.000], [0.250, 0.750, 0.500], [0.875, 0.819, 0.750], [0.375, 0.431, 0.750], [0.181, 0.625, 0.250], [0.569, 0.125, 0.250], [0.000, 0.000, 0.000], [0.750, 0.250, 0.500]]
}

{
  "formula": "FeBi2Ru",
  "functional": "PBE",
  "state": "optimized geometry",
  "formation_enthalpy_0k_kcal_per_mol_atoms": 21.0,
  "e_above_lowest_polymorph_mev_per_atom": 243,
  "cell": [[-5.041, -3.626, -1.896], [2.597, -5.160, 2.964], [-3.803, -3.134, 4.988]],
  "species": ["Ru", "Ru", "Bi", "Bi", "Bi", "Bi", "Fe", "Fe"],
  "frac_coords": [[0.000, 0.000, 0.000], [0.750, 0.250, 0.500], [0.875, 0.878, 0.750], [0.628, 0.125, 0.250], [0.122, 0.625, 0.250], [0.375, 0.372, 0.750], [0.500, 0.500, 0.000], [0.250, 0.750, 0.500]]
}

DOS at the Fermi energy in states/eV per atom, matching the order above: 1.511 1.302 1.007 2.149 0.691 1.152 1.557 0.945 1.460 1.286 1.135 1.469